This record from Alexandria via LeMat-Bulk describes La6ZnOs2I3 after structural relaxation. The functional is PBE.

**Raw formation energy**: -726 meV/atom
**V**: 398 Å³/f.u.
**DOS(E_F)**: 0.5862 states/eV/atom

POSCAR file:
```
La6ZnOs2I3
1.0
3.7287 -6.4588 0.0000
3.7287 6.4588 0.0000
-2.4843 0.0000 8.2717
La Zn Os I
6 1 2 3
direct
0.0776 0.4367 0.8107
0.2039 0.2039 0.1880
0.4367 0.0776 0.8107
0.5633 0.9224 0.1893
0.7961 0.7961 0.8120
0.9224 0.5633 0.1893
0.5000 0.5000 0.0000
0.1669 0.8331 0.0000
0.8331 0.1669 0.0000
0.0000 0.0000 0.5000
0.3366 0.6634 0.5000
0.6634 0.3366 0.5000
```